[1]
Here is a geometry-optimized LiAsW4 structure from the Alexandria database. Energies are from PBE.

Output
E_form   18.77 kcal/mol of atoms
Uncorrected energy   -8.915 eV per atom

a b c (Å): 5.3196 5.3196 5.3196
angles (deg): 60.00 60.00 60.00
Sites, in units of the cell vectors:
Li 0.0000 0.0000 0.0000
As 0.2500 0.2500 0.2500
W 0.1185 0.6272 0.6272
W 0.6272 0.1185 0.6272
W 0.6272 0.6272 0.1185
W 0.6272 0.6272 0.6272

***

[2]
Here is a geometry-optimized CaBr3N2 structure from the Alexandria database. Energies are from PBE.

Output
Uncorrected energy   -3.718 eV per atom

a b c (Å): 4.9638 4.9658 14.3170
angles (deg): 96.16 95.97 90.44
Sites, in units of the cell vectors:
Ca 0.1963 0.3003 0.2497
Ca 0.8037 0.6997 0.7503
Br 0.1177 0.6180 0.0862
Br 0.1185 0.6181 0.5857
Br 0.3539 0.1487 0.7492
Br 0.6461 0.8513 0.2508
Br 0.8815 0.3819 0.4143
Br 0.8823 0.3820 0.9138
N 0.2876 0.7866 0.2463
N 0.2893 0.7906 0.7458
N 0.7107 0.2094 0.2542
N 0.7124 0.2134 0.7537

***

[3]
Here is a geometry-optimized CoW2Au structure from the Alexandria database. Energies are from PBE.

Output
E_form   8.45 kcal/mol of atoms
Uncorrected energy   -8.706 eV per atom

a b c (Å): 2.7973 2.7973 27.2809
angles (deg): 90.00 90.00 120.00
Sites, in units of the cell vectors:
Co 0.0000 0.0000 0.0000
Co 0.3333 0.6667 0.6667
Co 0.6667 0.3333 0.3333
W 0.0000 0.0000 0.4949
W 0.0000 0.0000 0.7385
W 0.3333 0.6667 0.1616
W 0.3333 0.6667 0.4052
W 0.6667 0.3333 0.0719
W 0.6667 0.3333 0.8283
Au 0.0000 0.0000 0.2510
Au 0.3333 0.6667 0.9176
Au 0.6667 0.3333 0.5843

***

[4]
Here is a geometry-optimized Ac3Pm3SmTe8 structure from the Alexandria database. Energies are from PBE.

Output
Uncorrected energy   -5.240 eV per atom

a b c (Å): 9.2299 9.2299 9.2299
angles (deg): 58.90 58.90 58.90
Sites, in units of the cell vectors:
Ac 0.0000 0.5000 0.5000
Ac 0.5000 0.0000 0.5000
Ac 0.5000 0.5000 0.0000
Pm 0.0000 0.0000 0.5000
Pm 0.0000 0.5000 0.0000
Pm 0.5000 0.0000 0.0000
Sm 0.5000 0.5000 0.5000
Te 0.2400 0.7490 0.7490
Te 0.2444 0.2444 0.2444
Te 0.2510 0.2510 0.7600
Te 0.2510 0.7600 0.2510
Te 0.7490 0.2400 0.7490
Te 0.7490 0.7490 0.2400
Te 0.7556 0.7556 0.7556
Te 0.7600 0.2510 0.2510

***

[5]
Here is a geometry-optimized Ce6Zn2Pb structure from the Alexandria database. Energies are from PBE.

Output
E_form   -3.73 kcal/mol of atoms
Uncorrected energy   -4.813 eV per atom

a b c (Å): 7.4377 7.4377 7.1941
angles (deg): 108.42 108.42 36.65
Sites, in units of the cell vectors:
Ce 0.0570 0.0570 0.3695
Ce 0.1671 0.1671 0.9652
Ce 0.2458 0.2458 0.6649
Ce 0.7542 0.7542 0.3351
Ce 0.8329 0.8329 0.0348
Ce 0.9430 0.9430 0.6305
Zn 0.3963 0.3963 0.3413
Zn 0.6037 0.6037 0.6587
Pb 0.5000 0.5000 0.0000

***

[6]
Here is a geometry-optimized Ni8Rh structure from the Alexandria database. Energies are from PBE.

Output
E_form   0.29 kcal/mol of atoms
Uncorrected energy   -5.943 eV per atom

a b c (Å): 5.6396 5.6396 5.6396
angles (deg): 95.72 95.72 143.19
Sites, in units of the cell vectors:
Ni 0.0000 0.3359 0.3359
Ni 0.0000 0.6641 0.6641
Ni 0.3306 0.3306 0.6612
Ni 0.3306 0.6694 0.0000
Ni 0.3359 0.0000 0.3359
Ni 0.6641 0.0000 0.6641
Ni 0.6694 0.3306 0.0000
Ni 0.6694 0.6694 0.3388
Rh 0.0000 0.0000 0.0000

***

[7]
Here is a geometry-optimized Ce4Th3NpN8 structure from the Alexandria database. Energies are from PBE.

Output
Uncorrected energy   -9.321 eV per atom

a b c (Å): 7.1846 7.1846 7.1846
angles (deg): 60.14 60.14 60.14
Sites, in units of the cell vectors:
Ce 0.0000 0.0000 0.0000
Ce 0.0000 0.5000 0.5000
Ce 0.5000 0.0000 0.5000
Ce 0.5000 0.5000 0.0000
Th 0.0000 0.0000 0.5000
Th 0.0000 0.5000 0.0000
Th 0.5000 0.0000 0.0000
Np 0.5000 0.5000 0.5000
N 0.2506 0.2506 0.2506
N 0.2600 0.2600 0.7383
N 0.2600 0.7383 0.2600
N 0.2617 0.7400 0.7400
N 0.7383 0.2600 0.2600
N 0.7400 0.2617 0.7400
N 0.7400 0.7400 0.2617
N 0.7494 0.7494 0.7494

***

[8]
Here is a geometry-optimized KYSb2 structure from the Alexandria database. Energies are from PBE.

Output
Uncorrected energy   -4.401 eV per atom

a b c (Å): 5.9232 5.9232 3.3766
angles (deg): 90.00 90.00 90.00
Sites, in units of the cell vectors:
K 0.0000 0.0000 0.0000
Y 0.5000 0.5000 0.9945
Sb 0.0000 0.5000 0.4996
Sb 0.5000 0.0000 0.4996

***

[9]
Here is a geometry-optimized Ac2AgGeSe5 structure from the Alexandria database. Energies are from PBE.

Output
Uncorrected energy   -4.878 eV per atom

a b c (Å): 9.4521 9.4521 11.9882
angles (deg): 90.00 90.00 152.77
Sites, in units of the cell vectors:
Ac 0.1226 0.8774 0.5000
Ac 0.1265 0.8735 0.1177
Ac 0.8735 0.1265 0.6177
Ac 0.8774 0.1226 0.0000
Ag 0.2252 0.7748 0.8519
Ag 0.7748 0.2252 0.3519
Ge 0.4311 0.5689 0.2731
Ge 0.5689 0.4311 0.7731
Se 0.0427 0.9573 0.8643
Se 0.2942 0.7058 0.4866
Se 0.3139 0.6861 0.1704
Se 0.3670 0.6330 0.8118
Se 0.4965 0.5035 0.0893
Se 0.5035 0.4965 0.5893
Se 0.6330 0.3670 0.3118
Se 0.6861 0.3139 0.6704
Se 0.7058 0.2942 0.9866
Se 0.9573 0.0427 0.3643

***

[10]
Here is a geometry-optimized NdSi2Rh5 structure from the Alexandria database. Energies are from PBE.

Output
Uncorrected energy   -7.330 eV per atom

a b c (Å): 3.8978 6.7152 9.9041
angles (deg): 90.00 90.00 90.00
Sites, in units of the cell vectors:
Nd 0.0000 0.0000 0.0000
Nd 0.5000 0.5000 0.5000
Si 0.0000 0.5000 0.2340
Si 0.0000 0.5000 0.7660
Si 0.5000 0.0000 0.2660
Si 0.5000 0.0000 0.7340
Rh 0.0000 0.2014 0.3530
Rh 0.0000 0.2014 0.6470
Rh 0.0000 0.5000 0.0000
Rh 0.0000 0.7986 0.3530
Rh 0.0000 0.7986 0.6470
Rh 0.5000 0.0000 0.5000
Rh 0.5000 0.2986 0.1470
Rh 0.5000 0.2986 0.8530
Rh 0.5000 0.7014 0.1470
Rh 0.5000 0.7014 0.8530

***

[11]
Here is a geometry-optimized TiVC structure from the Alexandria database. Energies are from PBE.

Output
E_form   -11.38 kcal/mol of atoms
Uncorrected energy   -9.239 eV per atom

a b c (Å): 2.9652 2.9652 4.7162
angles (deg): 90.00 90.00 120.00
Sites, in units of the cell vectors:
Ti 0.0000 0.0000 0.0000
V 0.6667 0.3333 0.4991
C 0.3333 0.6667 0.2660

***

[12]
Here is a geometry-optimized K2FeOs structure from the Alexandria database. Energies are from PBE.

Output
E_form   36.27 kcal/mol of atoms
Uncorrected energy   -3.899 eV per atom

a b c (Å): 7.0671 7.0671 7.0671
angles (deg): 90.00 90.00 90.00
Sites, in units of the cell vectors:
K 0.0000 0.0000 0.0000
K 0.0000 0.5000 0.5000
K 0.2500 0.2500 0.2500
K 0.2500 0.7500 0.7500
K 0.5000 0.0000 0.5000
K 0.5000 0.5000 0.0000
K 0.7500 0.2500 0.7500
K 0.7500 0.7500 0.2500
Fe 0.0000 0.0000 0.5000
Fe 0.0000 0.5000 0.0000
Fe 0.5000 0.0000 0.0000
Fe 0.5000 0.5000 0.5000
Os 0.2500 0.2500 0.7500
Os 0.2500 0.7500 0.2500
Os 0.7500 0.2500 0.2500
Os 0.7500 0.7500 0.7500

***

[13]
Here is a geometry-optimized AcSbAs4 structure from the Alexandria database. Energies are from PBE.

Output
Uncorrected energy   -4.689 eV per atom

a b c (Å): 5.8786 5.8786 5.8786
angles (deg): 60.00 60.00 60.00
Sites, in units of the cell vectors:
Ac 0.0000 0.0000 0.0000
Sb 0.7500 0.7500 0.7500
As 0.3857 0.3857 0.3857
As 0.3857 0.3857 0.8430
As 0.3857 0.8430 0.3857
As 0.8430 0.3857 0.3857